AuSCl2 (GGA-PBE, optimized geometry); crystal system = trigonal; ΔE_f (raw) = 549 meV/atom; energy above the lowest structure with this stoichiometry = 169 meV per atom; ρ = 5.67 g/cm3; V = 87.8 Å³ per cell
1.0
1.941 0.000 8.970
-0.970 1.681 8.970
-0.970 -1.681 8.970
S Au Cl
1 1 2
Direct
0.500 0.500 0.500
0.000 0.000 0.000
0.914 0.914 0.914
0.086 0.086 0.086

---

Au2SCl (GGA-PBE, optimized geometry); crystal system = tetragonal; ΔE_f (raw) = 83 meV/atom; energy above the lowest structure with this stoichiometry = 0 meV per atom; ρ = 7.61 g/cm3; V = 201.4 Å³ per cell
1.0
5.381 0.000 0.000
0.000 5.381 0.000
2.691 2.691 6.954
S Au Cl
2 4 2
Direct
0.500 0.500 0.000
0.250 0.750 0.500
0.520 0.125 0.250
0.230 0.625 0.250
0.375 0.480 0.750
0.875 0.770 0.750
0.000 0.000 0.000
0.750 0.250 0.500